CrRu2Br | PBE | relaxed

E_form (uncorrected): 950 meV per atom
Offset from the most stable computed form: 435 meV per atom

```
data_CrRu2Br
_chemical_formula_sum 'Cr4 Ru8 Br4'
_symmetry_space_group_name_H-M 'I -4 2 d'
_symmetry_Int_Tables_number 122
_symmetry_space_group_name_Hall 'I -4 2bw'
_cell_length_a 5.498
_cell_length_b 5.498
_cell_length_c 10.753
_cell_angle_alpha 90.00
_cell_angle_beta 90.00
_cell_angle_gamma 90.00
loop_
_atom_site_label
_atom_site_type_symbol
_atom_site_fract_x
_atom_site_fract_y
_atom_site_fract_z
Cr1 Cr 0.000 0.000 0.000
Ru1 Ru 0.210 0.250 0.125
Br1 Br 0.000 0.000 0.500
```

=====

Tb5InRu2 | PBE | relaxed

ΔH_f (0 K): -302 kJ/mol of formula units

```
data_Tb5InRu2
_chemical_formula_sum 'Tb20 In4 Ru8'
_symmetry_space_group_name_H-M 'I 4/m c m'
_symmetry_Int_Tables_number 140
_symmetry_space_group_name_Hall '-I 4 2c'
_cell_length_a 7.773
_cell_length_b 7.773
_cell_length_c 13.650
_cell_angle_alpha 90.00
_cell_angle_beta 90.00
_cell_angle_gamma 90.00
loop_
_atom_site_label
_atom_site_type_symbol
_atom_site_fract_x
_atom_site_fract_y
_atom_site_fract_z
Tb1 Tb 0.000 0.000 0.000
Tb2 Tb 0.159 0.341 0.132
In1 In 0.000 0.000 0.250
Ru1 Ru 0.143 0.357 0.500
```

=====

BaZn4Ga4 | PBE | relaxed

ΔH_f (0 K): -93 kJ/mol of formula units

```
data_BaZn4Ga4
_chemical_formula_sum 'Ba2 Zn8 Ga8'
_symmetry_space_group_name_H-M 'P 42/n'
_symmetry_Int_Tables_number 86
_cell_length_a 8.736
_cell_length_b 8.736
_cell_length_c 5.233
_cell_angle_alpha 90.00
_cell_angle_beta 90.00
_cell_angle_gamma 90.00
loop_
_symmetry_equiv_pos_as_xyz
'x,y,z'
'-x,-y,-z'
'-y,x+1/2,z+1/2'
'y,-x+1/2,-z+1/2'
'-x+1/2,-y+1/2,z'
'x+1/2,y+1/2,-z'
'y+1/2,-x,z+1/2'
'-y+1/2,x,-z+1/2'
loop_
_atom_site_label
_atom_site_type_symbol
_atom_site_fract_x
_atom_site_fract_y
_atom_site_fract_z
Ba1 Ba 0.250 0.250 0.250
Zn1 Zn 0.067 0.596 0.150
Ga1 Ga 0.119 0.880 0.142
```